Computed, not measured: a relaxed structure of Pu2ReHg at the GGA-PBE level of DFT.

Calculated values
Polymorph energy (0 for the lowest one) (eV per atom): 0.000
Calculated formation energy (meV/atom): -2
Calculated volume (Å³ per cell): 89.70

Cell: 3.236 3.236 8.567 Å, 90.00 90.00 90.00°
Space group P4/mmm (No. 123)
Unique sites:
Pu (0.000, 0.000, 0.211) x2
Re (0.500, 0.500, 0.000) x1
Hg (0.500, 0.500, 0.500) x1